Entry 1:
Density functional theory data (PBE-GGA) for crystalline KCrHg2 at its relaxed geometry.

a = 5.6347 Å, b = 5.6347 Å, c = 18.8783 Å
α = 90.00°, β = 90.00°, γ = 90.00°
Closest atoms and distances in Å follow each position.
Space group I-42d (No. 122)
Symmetry-distinct sites (fractional):
K1 0.0000 0.0000 0.0000 [4 per cell]  4 Hg 3.61, 4 Cr 3.98
Cr1 0.0000 0.0000 0.5000 [4 per cell]  4 Hg 2.79
Hg1 0.0851 0.2500 0.6250 [8 per cell]  2 Cr 2.79, 2 Hg 2.98



Entry 2:
Density functional theory data (PBE-GGA) for crystalline CaMg2Tc at its relaxed geometry.

a = 4.2986 Å, b = 4.2986 Å, c = 20.2031 Å
α = 90.00°, β = 90.00°, γ = 90.00°
Closest atoms and distances in Å follow each position.
Space group I-42d (No. 122)
Symmetry-distinct sites (fractional):
Ca1 0.0000 0.0000 0.0000 [4 per cell]  4 Mg 3.03, 4 Tc 3.04
Mg1 0.2018 0.2500 0.6250 [8 per cell]  2 Mg 2.76, 2 Tc 2.88, 2 Ca 3.03
Tc1 0.0000 0.0000 0.5000 [4 per cell]  4 Mg 2.88, 4 Ca 3.04



Energy of formation for the records above, in order: 0.3748, 0.7237 eV per atom